GGA-PBE Li2Ca3Cd4, optimized geometry; density of states at the Fermi level = 6.2 states/eV/f.u.; space group = C2/m (12); total moment = 0.00 μB/cell; energy relative to the elements = -0.26 eV/atom
1.0
-1.5522 -4.4173 1.0527
-1.7253 -3.1557 -4.8472
7.2197 -5.4912 -1.4576
Cd Ca Li
4 3 2
Direct
0.0123 0.3333 0.6420
0.7349 0.6184 0.9118
0.2651 0.3816 0.0882
0.9877 0.6667 0.3580
0.3099 0.7561 0.6242
0.6901 0.2439 0.3758
0.0000 0.0000 0.0000
0.5238 0.1654 0.7870
0.4762 0.8346 0.2130



GGA-PBE LiCaCd2, optimized geometry; density of states at the Fermi level = 2.5 states/eV/f.u.; space group = I-4m2 (119); total moment = 0.00 μB/cell; energy relative to the elements = -0.26 eV/atom; energy relative to the lowest polymorph listed for this composition = 29 meV per atom
1.0
-0.7389 -4.2706 2.6327
2.5253 -0.7562 4.3320
-2.4669 0.1399 4.4491
Cd Li Ca
2 1 1
Direct
0.9998 0.9998 0.0004
0.2500 0.2500 0.2501
0.5002 0.5002 0.4993
0.7499 0.7499 0.7501



GGA-PBE Li2Ca5Cd2, optimized geometry; density of states at the Fermi level = 8.2 states/eV/f.u.; space group = Ima2 (46); total moment = 0.00 μB/cell; energy relative to the elements = -0.15 eV/atom
1.0
6.7309 0.0000 -1.8404
-0.9763 7.1090 -3.5705
-0.4765 1.1852 11.4859
Ca Cd Li
10 4 4
Direct
0.8845 0.2592 0.5000
0.7265 0.8166 0.1765
0.4856 0.1929 0.6879
0.9500 0.3166 0.1765
0.2977 0.0050 0.3121
0.2735 0.6401 0.8235
0.1155 0.7592 0.5000
0.7023 0.6929 0.6879
0.5144 0.5050 0.3121
0.0500 0.1401 0.8235
0.5000 0.3866 0.0000
0.3107 0.4066 0.5000
0.0000 0.8866 0.0000
0.6893 0.9066 0.5000
0.1988 0.6037 0.0784
0.3796 0.1037 0.0784
0.8012 0.5253 0.9216
0.6204 0.0253 0.9216



GGA-PBE Li2CaCd2, optimized geometry; density of states at the Fermi level = 2.2 states/eV/f.u.; space group = Cmmm (65); total moment = 0.00 μB/cell; energy relative to the elements = -0.15 eV/atom; energy relative to the lowest polymorph listed for this composition = 75 meV per atom
1.0
-0.2674 -0.1435 4.2178
1.8415 -3.7010 -0.8913
5.9865 2.8579 0.4810
Li Ca Cd
2 1 2
Direct
0.8160 0.1840 0.5000
0.1840 0.8160 0.5000
0.0000 0.0000 0.0000
0.5003 0.5003 0.7520
0.4996 0.4996 0.2480



GGA-PBE Li6Ca3Cd5, optimized geometry; density of states at the Fermi level = 6.8 states/eV/f.u.; space group = Immm (71); total moment = 0.00 μB/cell; energy relative to the elements = -0.22 eV/atom
1.0
-3.7666 -1.0225 2.8223
3.3361 -3.8892 7.1530
0.4082 5.6760 6.7110
Ca Li Cd
3 6 5
Direct
0.0000 0.0000 0.0000
0.7057 0.2943 0.2943
0.2943 0.7057 0.7057
0.1354 0.1515 0.5777
0.5000 0.3258 0.6742
0.1354 0.5777 0.1515
0.8646 0.4223 0.8485
0.8646 0.8485 0.4223
0.5000 0.6742 0.3258
0.6585 0.6947 0.9884
0.3415 0.0116 0.3053
0.6585 0.9884 0.6947
0.0000 0.5000 0.5000
0.3415 0.3053 0.0116



GGA-PBE LiCa2Cd8, optimized geometry; density of states at the Fermi level = 5.5 states/eV/f.u.; space group = C2/m (12); total moment = 0.00 μB/cell; energy relative to the elements = -0.18 eV/atom
1.0
-0.1248 2.1990 -5.0159
6.3135 -1.1952 -0.1064
-4.5035 -7.6688 -0.5458
Cd Li Ca
8 1 2
Direct
0.8837 0.6432 0.7423
0.6941 0.1941 0.3882
0.8586 0.0991 0.7423
0.1414 0.9009 0.2577
0.7426 0.4704 0.0000
0.3059 0.8059 0.6118
0.1163 0.3568 0.2577
0.2574 0.5296 0.0000
0.5000 0.0000 0.0000
0.3115 0.3115 0.6231
0.6885 0.6885 0.3769



GGA-PBE Li4CaCd, optimized geometry; density of states at the Fermi level = 3.0 states/eV/f.u.; space group = Pmma (51); total moment = 0.00 μB/cell; energy relative to the elements = -0.08 eV/atom; energy relative to the lowest polymorph listed for this composition = 11 meV per atom
1.0
4.4121 0.0000 0.0000
0.0000 7.8552 0.0000
0.0000 0.0000 8.3290
Cd Li Ca
2 8 2
Direct
0.0000 0.2222 0.7500
0.0000 0.7778 0.2500
0.5000 0.9734 0.7500
0.5000 0.6930 0.4422
0.0000 0.0000 0.5000
0.5000 0.3070 0.9422
0.5000 0.6930 0.0578
0.0000 0.0000 0.0000
0.5000 0.3070 0.5578
0.5000 0.0266 0.2500
0.0000 0.3742 0.2500
0.0000 0.6258 0.7500



GGA-PBE Li2Ca3Cd, optimized geometry; density of states at the Fermi level = 6.6 states/eV/f.u.; space group = P-3m1 (164); total moment = 0.00 μB/cell; energy relative to the elements = -0.12 eV/atom; energy relative to the lowest polymorph listed for this composition = 0 meV per atom
1.0
5.5068 0.0000 0.0000
-2.7534 4.7690 0.0000
0.0000 0.0000 13.5656
Li Ca Cd
4 6 2
Direct
0.0000 0.0000 0.5000
0.0000 0.0000 0.0000
0.6667 0.3333 0.8315
0.3333 0.6667 0.1685
0.6667 0.3333 0.5819
0.0000 0.0000 0.7437
0.6667 0.3333 0.0882
0.0000 0.0000 0.2563
0.3333 0.6667 0.4181
0.3333 0.6667 0.9118
0.3333 0.6667 0.6641
0.6667 0.3333 0.3359